1.
Below is crystalline SbSeI2 at its relaxed geometry, with properties calculated at the GGA-PBEsol level.

size of the total moment: 0.00 μB/atom
space group: No. 122
E_tot: -11.45 eV/f.u.

abc: 5.3294 8.0210 8.0210
angles: 83.66 70.60 70.60
Last column: nearest neighbours and their distance in Å.
Atoms (fractional coordinates):
I 0.7544 0.8706 0.3706  2 Sb 3.04
I 0.9956 0.1294 0.6294  2 Sb 3.04
I 0.3750 0.6294 0.8706  2 Sb 3.04
I 0.8750 0.3706 0.1294  2 Sb 3.04
Sb 0.0000 0.0000 0.0000  2 Se 2.66
Sb 0.7500 0.5000 0.5000  2 Se 2.66
Se 0.5000 0.0000 0.0000  2 Sb 2.66
Se 0.2500 0.5000 0.5000  2 Sb 2.66

2.
Below is crystalline SiSbSeI2 at its relaxed geometry, with properties calculated at the GGA-PBEsol level.

size of the total moment: 0.07 μB/atom
space group: No. 123
E_tot: -14.97 eV/f.u.

abc: 5.1775 5.1775 5.5318
angles: 90.00 90.00 90.00
Last column: nearest neighbours and their distance in Å.
Atoms (fractional coordinates):
I 0.0000 0.5000 0.0000  2 Si 2.59
I 0.5000 0.0000 0.0000  2 Si 2.59
Sb 0.0000 0.0000 0.5000  2 Si 2.77
Si 0.0000 0.0000 0.0000  4 I 2.59, 2 Sb 2.77
Se 0.5000 0.5000 0.5000  4 Sb 3.66, 8 I 3.79

3.
Below is crystalline Sn2SbSe2I3 at its relaxed geometry, with properties calculated at the GGA-PBEsol level.

size of the total moment: 0.00 μB/atom
space group: No. 36
E_tot: -28.78 eV/f.u.

abc: 4.3059 7.5709 16.8985
angles: 90.00 90.00 106.52
Last column: nearest neighbours and their distance in Å.
Atoms (fractional coordinates):
Sn 0.0777 0.1555 0.4882  3 Se 2.75-2.92
Sn 0.8259 0.6519 0.5329  3 Se 2.79-2.80
Sn 0.1741 0.3481 0.0329  3 Se 2.79-2.80
Sn 0.9223 0.8445 0.9882  3 Se 2.75-2.92
Sb 0.7737 0.5474 0.2830  1 Se 2.62
Sb 0.2263 0.4526 0.7830  1 Se 2.62
Se 0.6871 0.3741 0.4191  1 Sb 2.62, 3 Sn 2.79-2.92
Se 0.2232 0.4464 0.5923  3 Sn 2.75-2.80
Se 0.7768 0.5536 0.0923  3 Sn 2.75-2.80
Se 0.3129 0.6259 0.9191  1 Sb 2.62, 3 Sn 2.79-2.92
I 0.4043 0.8085 0.3546  2 Sb 3.11
I 0.5103 0.0207 0.6085  2 Sn 3.12
I 0.4897 0.9793 0.1085  2 Sn 3.12
I 0.5957 0.1915 0.8546  2 Sb 3.11
I 0.1382 0.2763 0.2374  2 Sb 3.02
I 0.8618 0.7237 0.7374  2 Sb 3.02

4.
Below is crystalline SbTe2SeI at its relaxed geometry, with properties calculated at the GGA-PBEsol level.

size of the total moment: 0.16 μB/atom
space group: No. 123
E_tot: -11.36 eV/f.u.

abc: 5.6583 5.6583 5.8367
angles: 90.00 90.00 90.00
Last column: nearest neighbours and their distance in Å.
Atoms (fractional coordinates):
I 0.0000 0.0000 0.0000  4 Te 2.83, 2 Sb 2.92
Sb 0.0000 0.0000 0.5000  2 I 2.92
Te 0.0000 0.5000 0.0000  2 I 2.83
Te 0.5000 0.0000 0.0000  2 I 2.83
Se 0.5000 0.5000 0.5000  4 Sb 4.00, 8 Te 4.06

5.
Below is crystalline ZnSb2SeI at its relaxed geometry, with properties calculated at the GGA-PBEsol level.

size of the total moment: 0.11 μB/atom
space group: No. 123
E_tot: -12.69 eV/f.u.

abc: 5.4047 5.4047 5.5434
angles: 90.00 90.00 90.00
Last column: nearest neighbours and their distance in Å.
Atoms (fractional coordinates):
I 0.0000 0.0000 0.5000  2 Se 2.77
Sb 0.0000 0.5000 0.0000  2 Se 2.70
Sb 0.5000 0.0000 0.0000  2 Se 2.70
Zn 0.5000 0.5000 0.5000  4 I 3.82, 8 Sb 3.87
Se 0.0000 0.0000 0.0000  4 Sb 2.70, 2 I 2.77

6.
Below is crystalline ZrSbSeI2 at its relaxed geometry, with properties calculated at the GGA-PBEsol level.

size of the total moment: 0.26 μB/atom
space group: No. 123
E_tot: -17.44 eV/f.u.

abc: 5.4357 5.3976 5.3976
angles: 90.00 90.00 90.00
Last column: nearest neighbours and their distance in Å.
Atoms (fractional coordinates):
I 0.0000 0.0000 0.5000  2 Se 2.70
I 0.0000 0.5000 0.0000  2 Se 2.70
Sb 0.5000 0.0000 0.0000  2 Se 2.72
Se 0.0000 0.0000 0.0000  4 I 2.70, 2 Sb 2.72
Zr 0.5000 0.5000 0.5000  4 Sb 3.82, 8 I 3.83

7.
Below is crystalline ZrSb2SeI at its relaxed geometry, with properties calculated at the GGA-PBEsol level.

size of the total moment: 0.14 μB/atom
space group: No. 123
E_tot: -20.30 eV/f.u.

abc: 5.2930 5.2930 5.2651
angles: 90.00 90.00 90.00
Last column: nearest neighbours and their distance in Å.
Atoms (fractional coordinates):
I 0.0000 0.0000 0.5000  2 Se 2.63
Sb 0.0000 0.5000 0.0000  2 Se 2.65
Sb 0.5000 0.0000 0.0000  2 Se 2.65
Se 0.0000 0.0000 0.0000  2 I 2.63, 4 Sb 2.65
Zr 0.5000 0.5000 0.5000  8 Sb 3.73, 4 I 3.74

8.
Below is crystalline TiSiSbI2 at its relaxed geometry, with properties calculated at the GGA-PBEsol level.

size of the total moment: 0.19 μB/atom
space group: No. 123
E_tot: -19.79 eV/f.u.

abc: 5.2158 5.2158 5.5227
angles: 90.00 90.00 90.00
Last column: nearest neighbours and their distance in Å.
Atoms (fractional coordinates):
I 0.0000 0.5000 0.0000  2 Ti 2.61
I 0.5000 0.0000 0.0000  2 Ti 2.61
Sb 0.0000 0.0000 0.5000  2 Ti 2.76
Si 0.5000 0.5000 0.5000  4 Sb 3.69, 8 I 3.80
Ti 0.0000 0.0000 0.0000  4 I 2.61, 2 Sb 2.76

9.
Below is crystalline YSiSbI2 at its relaxed geometry, with properties calculated at the GGA-PBEsol level.

size of the total moment: 0.07 μB/atom
space group: No. 123
E_tot: -19.44 eV/f.u.

abc: 5.6890 5.6890 6.0498
angles: 90.00 90.00 90.00
Last column: nearest neighbours and their distance in Å.
Atoms (fractional coordinates):
I 0.0000 0.5000 0.0000  2 Y 2.84
I 0.5000 0.0000 0.0000  2 Y 2.84
Sb 0.0000 0.0000 0.5000  2 Y 3.02
Si 0.5000 0.5000 0.5000  4 Sb 4.02, 8 I 4.15
Y 0.0000 0.0000 0.0000  4 I 2.84, 2 Sb 3.02

10.
Below is crystalline SnSbI2 at its relaxed geometry, with properties calculated at the GGA-PBEsol level.

size of the total moment: 0.00 μB/atom
space group: No. 225
E_tot: -11.65 eV/f.u.

abc: 5.5072 5.5072 5.5072
angles: 60.00 60.00 60.00
Last column: nearest neighbours and their distance in Å.
Atoms (fractional coordinates):
I 0.2500 0.2500 0.2500  4 Sn 3.37, 4 Sb 3.37
I 0.7500 0.7500 0.7500  4 Sb 3.37, 4 Sn 3.37
Sb 0.5000 0.5000 0.5000  8 I 3.37
Sn 0.0000 0.0000 0.0000  8 I 3.37

11.
Below is crystalline SnSbI3 at its relaxed geometry, with properties calculated at the GGA-PBEsol level.

size of the total moment: 0.23 μB/atom
space group: No. 221
E_tot: -12.98 eV/f.u.

abc: 5.9057 5.9057 5.9057
angles: 90.00 90.00 90.00
Last column: nearest neighbours and their distance in Å.
Atoms (fractional coordinates):
I 0.0000 0.5000 0.0000  2 Sb 2.95
I 0.0000 0.0000 0.5000  2 Sb 2.95
I 0.5000 0.0000 0.0000  2 Sb 2.95
Sb 0.0000 0.0000 0.0000  6 I 2.95
Sn 0.5000 0.5000 0.5000  12 I 4.18

12.
Below is crystalline SnSb2TeI at its relaxed geometry, with properties calculated at the GGA-PBEsol level.

size of the total moment: 0.00 μB/atom
space group: No. 123
E_tot: -13.94 eV/f.u.

abc: 5.6608 5.6960 5.6960
angles: 90.00 90.00 90.00
Last column: nearest neighbours and their distance in Å.
Atoms (fractional coordinates):
I 0.0000 0.0000 0.0000  2 Te 2.83, 4 Sb 2.85
Sb 0.0000 0.0000 0.5000  2 I 2.85
Sb 0.0000 0.5000 0.0000  2 I 2.85
Te 0.5000 0.0000 0.0000  2 I 2.83
Sn 0.5000 0.5000 0.5000  8 Sb 4.02, 4 Te 4.03